Entry 1:
Computed, not measured: a relaxed structure of HoLuTe2 at the GGA-PBE level of DFT.

Cell and atoms, written as CIF:
```
data_HoLuTe2
_symmetry_space_group_name_H-M 'R -3 m'
_symmetry_Int_Tables_number 166
_symmetry_space_group_name_Hall '-R 3 2"'
_cell_length_a 4.2796
_cell_length_b 4.2796
_cell_length_c 21.3215
_cell_angle_alpha 90.00
_cell_angle_beta 90.00
_cell_angle_gamma 120.00
loop_
_atom_site_label
_atom_site_type_symbol
_atom_site_fract_x
_atom_site_fract_y
_atom_site_fract_z
_atom_site_occupancy
Ho1 Ho 0.0000 0.0000 0.0000 1
Lu1 Lu 0.0000 0.0000 0.5000 1
Te1 Te 0.0000 0.0000 0.2480 1
```

Properties
* D(E_F): 0.5449 states/eV/atom
* crystal system: trigonal
* offset from the most stable computed form: 0 meV per atom
* E_form (uncorrected): -1169 meV per atom
* DFT total energy: -60.2 eV per cell

---

Entry 2:
Computed, not measured: a relaxed structure of Cd5Br3Cl12 at the GGA-PBE level of DFT.

Cell and atoms, written as CIF:
```
data_Cd5Br3Cl12
_symmetry_space_group_name_H-M 'I a -3 d'
_symmetry_Int_Tables_number 230
_symmetry_space_group_name_Hall '-I 4bd 2c 3'
_cell_length_a 17.0655
_cell_length_b 17.0655
_cell_length_c 17.0655
_cell_angle_alpha 90.00
_cell_angle_beta 90.00
_cell_angle_gamma 90.00
loop_
_atom_site_label
_atom_site_type_symbol
_atom_site_fract_x
_atom_site_fract_y
_atom_site_fract_z
_atom_site_occupancy
Cd1 Cd 0.0000 0.0000 0.0000 1
Cd2 Cd 0.0000 0.2500 0.3750 1
Br1 Br 0.0000 0.2500 0.1250 1
Cl1 Cl 0.0259 0.0403 0.6491 1
```

Properties
* D(E_F): 0.6122 states/eV/atom
* crystal system: cubic
* E_form (uncorrected): -546 meV per atom
* DFT total energy: -341.4 eV per cell

---

Entry 3:
Computed, not measured: a relaxed structure of CsAgBr3 at the GGA-PBE level of DFT.

Cell and atoms, written as CIF:
```
data_CsAgBr3
_symmetry_space_group_name_H-M 'R 3 m'
_symmetry_Int_Tables_number 160
_symmetry_space_group_name_Hall 'R 3 -2"'
_cell_length_a 7.9982
_cell_length_b 7.9982
_cell_length_c 18.1860
_cell_angle_alpha 90.00
_cell_angle_beta 90.00
_cell_angle_gamma 120.00
loop_
_atom_site_label
_atom_site_type_symbol
_atom_site_fract_x
_atom_site_fract_y
_atom_site_fract_z
_atom_site_occupancy
Cs1 Cs 0.0000 0.0000 0.0000 1
Ag1 Ag 0.0000 0.0000 0.8026 1
Br1 Br 0.1799 0.3597 0.8261 1
```

Properties
* D(E_F): 0.6268 states/eV/atom
* crystal system: trigonal
* E_form (uncorrected): -686 meV per atom
* DFT total energy: -36.5 eV per cell

---

Entry 4:
Computed, not measured: a relaxed structure of Ho2BeNi4P3 at the GGA-PBE level of DFT.

Cell and atoms, written as CIF:
```
data_Ho2BeNi4P3
_symmetry_space_group_name_H-M 'P -4 m 2'
_symmetry_Int_Tables_number 115
_cell_length_a 3.8439
_cell_length_b 3.8439
_cell_length_c 9.2838
_cell_angle_alpha 90.00
_cell_angle_beta 90.00
_cell_angle_gamma 90.00
loop_
_symmetry_equiv_pos_as_xyz
'x,y,z'
'y,-x,-z'
'-x,-y,z'
'-y,x,-z'
'-x,y,z'
'-y,-x,-z'
'x,-y,z'
'y,x,-z'
loop_
_atom_site_label
_atom_site_type_symbol
_atom_site_fract_x
_atom_site_fract_y
_atom_site_fract_z
_atom_site_occupancy
Ho1 Ho 0.0000 0.5000 0.2467 1
Be1 Be 0.5000 0.5000 0.0000 1
Ni1 Ni 0.0000 0.0000 0.5000 1
Ni2 Ni 0.0000 0.5000 0.8784 1
Ni3 Ni 0.5000 0.5000 0.5000 1
P1 P 0.0000 0.0000 0.0000 1
P2 P 0.0000 0.5000 0.6379 1
```

Properties
* D(E_F): 0.4661 states/eV/atom
* crystal system: tetragonal
* DFT total energy: -61.8 eV per cell

---

Entry 5:
Computed, not measured: a relaxed structure of CuIO2F at the GGA-PBE level of DFT.

Cell and atoms, written as CIF:
```
data_CuIO2F
_symmetry_space_group_name_H-M 'P 4/m m m'
_symmetry_Int_Tables_number 123
_symmetry_space_group_name_Hall '-P 4 2'
_cell_length_a 4.0348
_cell_length_b 4.0348
_cell_length_c 3.8458
_cell_angle_alpha 90.00
_cell_angle_beta 90.00
_cell_angle_gamma 90.00
loop_
_atom_site_label
_atom_site_type_symbol
_atom_site_fract_x
_atom_site_fract_y
_atom_site_fract_z
_atom_site_occupancy
Cu1 Cu 0.0000 0.0000 0.0000 1
I1 I 0.5000 0.5000 0.5000 1
O1 O 0.0000 0.5000 0.0000 1
F1 F 0.0000 0.0000 0.5000 1
```

Properties
* D(E_F): 0.5452 states/eV/atom
* crystal system: tetragonal
* E_form (uncorrected): -117 meV per atom
* DFT total energy: -18.0 eV per cell

---

Entry 6:
Computed, not measured: a relaxed structure of B2C3 at the GGA-PBE level of DFT.

Cell and atoms, written as CIF:
```
data_B2C3
_symmetry_space_group_name_H-M 'P -1'
_symmetry_Int_Tables_number 2
_cell_length_a 3.4804
_cell_length_b 4.4228
_cell_length_c 4.7689
_cell_angle_alpha 90.19
_cell_angle_beta 110.49
_cell_angle_gamma 111.88
loop_
_symmetry_equiv_pos_as_xyz
'x,y,z'
'-x,-y,-z'
loop_
_atom_site_label
_atom_site_type_symbol
_atom_site_fract_x
_atom_site_fract_y
_atom_site_fract_z
_atom_site_occupancy
B1 B 0.0210 0.0218 0.3308 1
B2 B 0.2055 0.6962 0.4575 1
C1 C 0.2307 0.5763 0.1412 1
C2 C 0.3996 0.2982 0.2282 1
C3 C 0.4310 0.1447 0.9580 1
```

Properties
* D(E_F): 0.0144 states/eV/atom
* crystal system: triclinic
* offset from the most stable computed form: 91 meV per atom
* DFT total energy: -78.8 eV per cell

---

Entry 7:
Computed, not measured: a relaxed structure of Dy2Mg3Cd2 at the GGA-PBE level of DFT.

Cell and atoms, written as CIF:
```
data_Dy2Mg3Cd2
_symmetry_space_group_name_H-M 'C 1 2/m 1'
_symmetry_Int_Tables_number 12
_cell_length_a 8.9289
_cell_length_b 5.1390
_cell_length_c 8.0758
_cell_angle_alpha 90.00
_cell_angle_beta 111.52
_cell_angle_gamma 90.00
loop_
_symmetry_equiv_pos_as_xyz
'x,y,z'
'-x,-y,-z'
'-x,y,-z'
'x,-y,z'
'x+1/2,y+1/2,z'
'-x+1/2,-y+1/2,-z'
'-x+1/2,y+1/2,-z'
'x+1/2,-y+1/2,z'
loop_
_atom_site_label
_atom_site_type_symbol
_atom_site_fract_x
_atom_site_fract_y
_atom_site_fract_z
_atom_site_occupancy
Dy1 Dy 0.0796 0.0000 0.2360 1
Mg1 Mg 0.0000 0.5000 0.5000 1
Mg2 Mg 0.1520 0.5000 0.9567 1
Cd1 Cd 0.2139 0.0000 0.6466 1
```

Properties
* D(E_F): 0.6198 states/eV/atom
* crystal system: monoclinic
* offset from the most stable computed form: 0 meV per atom
* DFT total energy: -34.3 eV per cell

---

Entry 8:
Computed, not measured: a relaxed structure of Ce4TlCd at the GGA-PBE level of DFT.

Cell and atoms, written as CIF:
```
data_Ce4TlCd
_symmetry_space_group_name_H-M 'I m m 2'
_symmetry_Int_Tables_number 44
_cell_length_a 3.2048
_cell_length_b 6.1224
_cell_length_c 15.8312
_cell_angle_alpha 90.00
_cell_angle_beta 90.00
_cell_angle_gamma 90.00
loop_
_symmetry_equiv_pos_as_xyz
'x,y,z'
'-x,-y,z'
'-x,y,z'
'x,-y,z'
'x+1/2,y+1/2,z+1/2'
'-x+1/2,-y+1/2,z+1/2'
'-x+1/2,y+1/2,z+1/2'
'x+1/2,-y+1/2,z+1/2'
loop_
_atom_site_label
_atom_site_type_symbol
_atom_site_fract_x
_atom_site_fract_y
_atom_site_fract_z
_atom_site_occupancy
Ce1 Ce 0.0000 0.0000 0.0000 1
Ce2 Ce 0.0000 0.2264 0.8140 1
Ce3 Ce 0.0000 0.5000 0.6591 1
Tl1 Tl 0.0000 0.0000 0.4744 1
Cd1 Cd 0.0000 0.5000 0.1455 1
```

Properties
* D(E_F): 2.4545 states/eV/atom
* crystal system: orthorhombic
* offset from the most stable computed form: 95 meV per atom
* DFT total energy: -54.1 eV per cell

---

Entry 9:
Computed, not measured: a relaxed structure of CsLi2AgAu at the GGA-PBE level of DFT.

Cell and atoms, written as CIF:
```
data_CsLi2AgAu
_symmetry_space_group_name_H-M 'P 4/m m m'
_symmetry_Int_Tables_number 123
_symmetry_space_group_name_Hall '-P 4 2'
_cell_length_a 5.1328
_cell_length_b 5.1328
_cell_length_c 5.5630
_cell_angle_alpha 90.00
_cell_angle_beta 90.00
_cell_angle_gamma 90.00
loop_
_atom_site_label
_atom_site_type_symbol
_atom_site_fract_x
_atom_site_fract_y
_atom_site_fract_z
_atom_site_occupancy
Cs1 Cs 0.0000 0.0000 0.0000 1
Li1 Li 0.0000 0.5000 0.5000 1
Ag1 Ag 0.5000 0.5000 0.0000 1
Au1 Au 0.5000 0.5000 0.5000 1
```

Properties
* D(E_F): 0.5926 states/eV/atom
* crystal system: tetragonal
* DFT total energy: -11.1 eV per cell

---

Entry 10:
Computed, not measured: a relaxed structure of CuAg3 at the GGA-PBE level of DFT.

Cell and atoms, written as CIF:
```
data_CuAg3
_symmetry_space_group_name_H-M 'P m m m'
_symmetry_Int_Tables_number 47
_cell_length_a 2.8807
_cell_length_b 3.8267
_cell_length_c 6.0360
_cell_angle_alpha 90.00
_cell_angle_beta 90.00
_cell_angle_gamma 90.00
loop_
_symmetry_equiv_pos_as_xyz
'x,y,z'
'-x,-y,-z'
'-x,-y,z'
'x,y,-z'
'x,-y,-z'
'-x,y,z'
'-x,y,-z'
'x,-y,z'
loop_
_atom_site_label
_atom_site_type_symbol
_atom_site_fract_x
_atom_site_fract_y
_atom_site_fract_z
_atom_site_occupancy
Cu1 Cu 0.0000 0.0000 0.0000 1
Ag1 Ag 0.0000 0.0000 0.5000 1
Ag2 Ag 0.5000 0.5000 0.2336 1
```

Properties
* D(E_F): 0.3226 states/eV/atom
* crystal system: orthorhombic
* DFT total energy: -12.3 eV per cell

---

Entry 11:
Computed, not measured: a relaxed structure of BaCd2Au6 at the GGA-PBE level of DFT.

Cell and atoms, written as CIF:
```
data_BaCd2Au6
_symmetry_space_group_name_H-M 'P 6/m m m'
_symmetry_Int_Tables_number 191
_symmetry_space_group_name_Hall '-P 6 2'
_cell_length_a 8.1847
_cell_length_b 8.1847
_cell_length_c 3.7238
_cell_angle_alpha 90.00
_cell_angle_beta 90.00
_cell_angle_gamma 120.00
loop_
_atom_site_label
_atom_site_type_symbol
_atom_site_fract_x
_atom_site_fract_y
_atom_site_fract_z
_atom_site_occupancy
Ba1 Ba 0.0000 0.0000 0.0000 1
Cd1 Cd 0.3333 0.6667 0.0000 1
Au1 Au 0.0000 0.3366 0.5000 1
```

Properties
* D(E_F): 0.4148 states/eV/atom
* crystal system: hexagonal
* offset from the most stable computed form: 128 meV per atom
* DFT total energy: -24.7 eV per cell

---

Entry 12:
Computed, not measured: a relaxed structure of MnRe2HAu at the GGA-PBE level of DFT.

Cell and atoms, written as CIF:
```
data_MnRe2HAu
_symmetry_space_group_name_H-M 'P 4/m m m'
_symmetry_Int_Tables_number 123
_symmetry_space_group_name_Hall '-P 4 2'
_cell_length_a 4.4150
_cell_length_b 4.4150
_cell_length_c 4.8861
_cell_angle_alpha 90.00
_cell_angle_beta 90.00
_cell_angle_gamma 90.00
loop_
_atom_site_label
_atom_site_type_symbol
_atom_site_fract_x
_atom_site_fract_y
_atom_site_fract_z
_atom_site_occupancy
Mn1 Mn 0.0000 0.0000 0.0000 1
Re1 Re 0.0000 0.5000 0.0000 1
H1 H 0.5000 0.5000 0.5000 1
Au1 Au 0.0000 0.0000 0.5000 1
```

Properties
* D(E_F): 0.9883 states/eV/atom
* crystal system: tetragonal
* DFT total energy: -30.1 eV per cell